Material: CeSmPd2
Method: DFT, PBE
State: optimized geometry

abc: 5.067 5.067 5.067
angles: 60.00 60.00 60.00
Last column: magnetic moment on the atom in μB.
Atoms (fractional coordinates):
Sm  0.500  0.500  0.500  0.04
Pd  0.250  0.250  0.250  -0.02
Pd  0.750  0.750  0.750  -0.02
Ce  0.000  0.000  0.000  0.70

Computed properties:
polymorph energy (0 for the lowest one) = 71.4 meV/atom
SG = Fm-3m
final energy = -5.946 eV/atom

Material: CuRuPt2
Method: DFT, PBE
State: optimized geometry

abc: 4.476 2.717 4.756
angles: 90.00 90.00 90.00
Atoms (fractional coordinates):
Cu  0.500  0.626  0.794
Pt  0.000  0.125  0.949
Pt  0.500  0.125  0.300
Ru  0.000  0.625  0.456

Computed properties:
polymorph energy (0 for the lowest one) = 58.0 meV/atom
SG = Pmm2
final energy = -6.354 eV/atom